Computed, not measured: BaNdNi10 after structural relaxation at the GGA-PBE level of DFT.

Structure (extended XYZ):
```
12
Lattice="-3.085 -0.364 2.444 0.842 -4.995 0.319 5.317 1.337 6.911" Properties=species:S:1:pos:R:3 pbc="T T T"
Ni 3.012 -2.910 6.565
Ni 0.473 -3.549 3.264
Ni 1.817 0.457 2.363
Ni 1.116 0.486 4.678
Ni 4.795 -1.397 5.844
Ni 0.062 -1.112 3.109
Ni -1.121 -2.680 1.381
Ni 2.601 -0.473 6.410
Ni 3.499 0.880 4.549
Ni 1.365 -2.260 1.386
Ba 0.000 0.000 0.000
Nd 3.080 -1.829 3.615
```

Values from the calculation:
Calculated formation energy ... -0.09 eV per atom



Computed, not measured: AgB4 after structural relaxation at the GGA-PBE level of DFT.

Structure (extended XYZ):
```
5
Lattice="-2.557 -2.871 -1.534 0.347 -2.180 3.502 -3.237 2.034 1.587" Properties=species:S:1:pos:R:3 pbc="T T T"
B 0.000 0.000 0.000
B -1.105 -2.525 0.984
B -2.897 -0.418 0.027
B -1.445 -0.073 2.544
Ag -2.723 -1.508 1.777
```

Values from the calculation:
Calculated formation energy ... 2.81 eV per atom



Computed, not measured: TcSbCl2 after structural relaxation at the GGA-PBE level of DFT.

Structure (extended XYZ):
```
4
Lattice="5.431 -0.023 0.327 -2.163 4.982 0.327 1.446 2.194 3.443" Properties=species:S:1:pos:R:3 pbc="T T T"
Sb 3.439 1.086 1.885
Tc -0.359 3.588 1.885
Cl 1.634 2.480 0.327
Cl 0.000 0.000 0.000
```

Values from the calculation:
Raw formation energy ... 366 meV/atom
Excess energy over the best structure of this formula in the dataset ... 13.597 kcal/mol of atoms



Computed, not measured: Pm2Sm4Er after structural relaxation at the GGA-PBE level of DFT.

Structure (extended XYZ):
```
28
Lattice="13.300 0.000 0.000 0.000 6.603 0.000 0.000 0.000 10.918" Properties=species:S:1:pos:R:3 pbc="T T T"
Pm 5.660 0.000 7.264
Pm 5.660 3.301 1.805
Pm 12.310 0.000 9.113
Pm 12.310 3.302 3.654
Pm 0.989 3.302 7.264
Pm 7.639 0.000 3.654
Pm 7.639 3.302 9.113
Pm 0.989 0.000 1.805
Er 0.000 3.301 0.000
Er 6.650 0.000 0.000
Er 6.650 3.302 5.459
Er 0.000 0.000 5.459
Sm 9.975 1.651 5.674
Sm 3.325 4.952 5.243
Sm 9.975 4.952 0.216
Sm 11.140 6.603 2.892
Sm 4.490 3.302 8.025
Sm 3.325 1.651 10.702
Sm 8.809 0.000 8.351
Sm 11.140 3.302 8.351
Sm 3.325 1.651 5.243
Sm 9.975 1.651 0.216
Sm 9.975 4.953 5.674
Sm 3.325 4.953 10.702
Sm 4.490 6.603 2.566
Sm 2.159 0.000 8.025
Sm 2.160 3.301 2.566
Sm 8.809 3.301 2.892
```

Values from the calculation:
Calculated formation energy ... 0.18 eV per atom
Excess energy over the best structure of this formula in the dataset ... 1.324 kcal/mol of atoms



Computed, not measured: HgSb2Se after structural relaxation at the GGA-PBE level of DFT.

Structure (extended XYZ):
```
4
Lattice="-5.554 -1.779 -1.327 -2.966 -3.781 -3.560 -1.435 -4.746 2.592" Properties=species:S:1:pos:R:3 pbc="T T T"
Sb -6.751 -6.978 -1.566
Sb -0.547 -0.772 0.058
Hg -2.773 -2.382 -1.078
Se -4.862 -5.327 -0.857
```

Values from the calculation:
Raw formation energy ... 44 meV/atom
Excess energy over the best structure of this formula in the dataset ... 1.093 kcal/mol of atoms



Computed, not measured: LaNi2Ru after structural relaxation at the GGA-PBE level of DFT.

Structure (extended XYZ):
```
4
Lattice="-0.940 -4.004 1.805 3.194 1.612 2.715 -2.308 1.392 1.896" Properties=species:S:1:pos:R:3 pbc="T T T"
Ni 1.127 -1.196 2.260
Ni 0.000 0.000 0.000
Ru -1.624 -1.306 1.850
La 0.443 1.502 2.306
```

Values from the calculation:
Calculated formation energy ... 0.13 eV per atom



Computed, not measured: Er3Al4Ga4 after structural relaxation at the GGA-PBE level of DFT.

Structure (extended XYZ):
```
11
Lattice="-0.030 0.874 4.096 2.817 -6.417 1.391 5.291 5.587 -3.295" Properties=species:S:1:pos:R:3 pbc="T T T"
Er 1.409 -3.209 0.695
Er 1.665 0.701 -0.137
Er 6.413 -0.658 2.329
Al 5.068 0.718 -0.116
Al 3.010 -0.674 2.307
Al 4.018 3.109 -0.634
Al 4.060 -3.066 2.826
Ga 0.496 -0.727 2.300
Ga 2.291 -4.816 3.186
Ga 3.703 2.003 1.741
Ga 4.375 -1.959 0.450
```

Values from the calculation:
Calculated formation energy ... -0.43 eV per atom



Computed, not measured: PrPaRhN3 after structural relaxation at the GGA-PBE level of DFT.

Structure (extended XYZ):
```
12
Lattice="-3.171 -0.717 -1.271 2.842 -0.877 -6.595 0.616 -7.329 2.597" Properties=species:S:1:pos:R:3 pbc="T T T"
N 1.357 -7.085 -1.786
N 0.142 -6.695 1.024
N 0.145 -2.228 -6.294
N -1.615 -3.929 -0.943
N -1.070 -1.838 -3.483
N 1.903 -4.994 -4.327
Rh -0.098 -4.540 0.408
Rh 0.385 -4.382 -5.677
Pa 1.170 -1.977 -4.200
Pa -0.883 -6.945 -1.069
Pr 0.509 -7.127 -4.439
Pr -0.222 -1.795 -0.831
```

Values from the calculation:
Raw formation energy ... -905 meV/atom



Computed, not measured: Ac3LaIr8 after structural relaxation at the GGA-PBE level of DFT.

Structure (extended XYZ):
```
12
Lattice="-3.854 -3.079 -2.535 -2.120 -4.443 2.554 -8.485 2.660 3.605" Properties=species:S:1:pos:R:3 pbc="T T T"
Ir -10.360 -3.015 1.215
Ir -4.219 -2.781 0.692
Ir -5.279 -5.002 1.969
Ir -12.061 -2.678 3.392
Ir -6.146 -4.320 -0.575
Ir -11.418 -5.231 2.488
Ir -4.829 -0.250 1.579
Ir -9.495 -3.696 3.752
Ac -9.660 -0.497 3.159
Ac -5.995 -7.506 0.030
Ac -7.212 -2.445 1.802
La -8.418 -5.577 1.373
```

Values from the calculation:
Calculated formation energy ... -0.60 eV per atom



Computed, not measured: Mg3TaPt after structural relaxation at the GGA-PBE level of DFT.

Structure (extended XYZ):
```
5
Lattice="-1.462 4.118 -2.119 -2.709 -2.563 -3.111 -3.756 0.245 3.069" Properties=species:S:1:pos:R:3 pbc="T T T"
Mg -1.878 0.123 1.534
Mg -0.731 2.059 -1.060
Mg -1.354 -1.282 -1.555
Ta -3.964 0.900 -1.081
Pt 0.000 0.000 0.000
```

Values from the calculation:
Calculated formation energy ... 0.59 eV per atom
Excess energy over the best structure of this formula in the dataset ... 0.000 kcal/mol of atoms



Computed, not measured: KSm2RuO8 after structural relaxation at the GGA-PBE level of DFT.

Structure (extended XYZ):
```
12
Lattice="-0.073 -4.908 -1.962 2.339 1.247 -3.264 6.909 -0.955 2.106" Properties=species:S:1:pos:R:3 pbc="T T T"
O 1.029 -1.387 -1.019
O 7.854 -0.925 -1.179
O 1.320 -3.691 -1.941
O 6.090 -5.078 -1.430
O 3.085 0.462 -1.690
O 8.146 -3.229 -2.101
O 3.848 -2.702 -0.484
O 5.327 -1.914 -2.635
Sm 6.298 -2.795 -0.577
Sm 2.877 -1.820 -2.543
Ru 0.000 0.000 0.000
K 3.455 -0.477 1.053
```

Values from the calculation:
Raw formation energy ... -1848 meV/atom



Computed, not measured: Pm6CoPd2 after structural relaxation at the GGA-PBE level of DFT.

Structure (extended XYZ):
```
18
Lattice="6.680 0.000 0.185 0.000 7.430 0.000 -0.553 0.000 10.210" Properties=species:S:1:pos:R:3 pbc="T T T"
Pm 1.106 2.377 0.683
Pm 2.156 6.081 0.747
Pm 0.908 2.367 4.450
Pm 0.554 0.262 7.686
Pm 4.170 3.453 2.673
Pm 5.573 7.168 2.709
Pm 5.219 5.063 5.944
Pm 4.169 1.338 5.880
Pm 1.958 6.092 4.515
Pm 1.956 3.977 7.721
Pm 5.021 5.053 9.712
Pm 3.971 1.348 9.647
Pd 2.801 0.844 2.720
Pd 3.326 6.585 7.674
Pd 5.864 2.871 7.917
Pd 0.262 4.559 2.477
Co 3.340 3.715 0.092
Co -0.277 0.000 5.105
```

Values from the calculation:
Calculated formation energy ... -0.38 eV per atom